(1)
A geometry-optimized HfGaTc structure. Source: the Alexandria database, functional PBE-GGA.

- DOS at the Fermi energy (states/eV/atom) = 0.240
- space group = Fdd2
- energy of formation from the pure elements (meV/atom) = -399.9

Geometry as POSCAR:
```
HfGaTc
1.0
0.000 4.824 4.186
2.518 0.000 4.186
2.518 4.824 0.000
Hf Ga Tc
2 2 2
direct
0.000 0.000 0.000
0.250 0.250 0.250
0.344 0.344 0.656
0.594 0.594 0.906
0.674 0.674 0.326
0.924 0.924 0.576
```



(2)
A geometry-optimized PmAsP2 structure. Source: the Alexandria database, functional PBE-GGA.

- DOS at the Fermi energy (states/eV/atom) = 0.266
- space group = P4/mmm
- energy of formation from the pure elements (meV/atom) = -373.5

Geometry as POSCAR:
```
PmAsP2
1.0
3.785 0.000 0.000
0.000 3.785 0.000
0.000 0.000 5.561
Pm As P
1 1 2
direct
0.000 0.000 0.000
0.000 0.000 0.500
0.500 0.500 0.295
0.500 0.500 0.705
```



(3)
A geometry-optimized Ti3Ni2Au4 structure. Source: the Alexandria database, functional PBE-GGA.

- DOS at the Fermi energy (states/eV/atom) = 0.999
- space group = C2/c
- energy of formation from the pure elements (meV/atom) = -318.6

Geometry as POSCAR:
```
Ti3Ni2Au4
1.0
6.350 -4.769 0.000
6.350 4.769 0.000
-0.801 0.000 4.700
Ti Ni Au
6 4 8
direct
0.108 0.892 0.750
0.195 0.464 0.928
0.464 0.195 0.428
0.536 0.805 0.572
0.805 0.536 0.072
0.892 0.108 0.250
0.023 0.769 0.176
0.231 0.977 0.324
0.769 0.023 0.676
0.977 0.231 0.824
0.101 0.328 0.375
0.306 0.578 0.473
0.328 0.101 0.875
0.422 0.694 0.027
0.578 0.306 0.973
0.672 0.899 0.125
0.694 0.422 0.527
0.899 0.672 0.625
```